Here is ZrTiV2F after structural relaxation from Alexandria via LeMat-Bulk. Energies are from PBE+U.

* total moment: 6.557 μB/cell
* N(E_F): 5.49 states/eV per cell
* uncorrected energy: -6.16 eV per atom
* SG: No. 123

```
ZrTiV2F
1.0
5.218 0.000 0.000
0.000 3.719 0.000
0.000 0.000 5.218
V Zr Ti F
2 1 1 1
Direct
0.500 0.000 0.000
0.000 0.000 0.500
0.500 0.500 0.500
0.000 0.000 0.000
0.000 0.500 0.000
```